DFT (PBE) results for a relaxed AsPt2Rh crystal.

Computed properties:
- Crystal system: orthorhombic
- Space group: Pmmm (47)
- Formation energy from the elements: -0.597 kcal/mol of atoms

Lattice parameters (Å, degrees): 2.8473 4.6329 4.7579 90.00 90.00 90.00
Atoms (fractional coordinates):
As (0.0000, 0.0000, 0.0000)
Pt (0.0000, 0.5000, 0.5000)
Pt (0.5000, 0.0000, 0.5000)
Rh (0.5000, 0.5000, 0.0000)

DFT (PBE) results for a relaxed TlCuAs4 crystal.

Computed properties:
- Crystal system: cubic
- Space group: F-43m (216)
- Formation energy from the elements: 10.174 kcal/mol of atoms

Lattice parameters (Å, degrees): 5.6640 5.6640 5.6640 60.00 60.00 60.00
Atoms (fractional coordinates):
Tl (0.0000, 0.0000, 0.0000)
Cu (0.2500, 0.2500, 0.2500)
As (0.1284, 0.6239, 0.6239)
As (0.6239, 0.1284, 0.6239)
As (0.6239, 0.6239, 0.1284)
As (0.6239, 0.6239, 0.6239)

DFT (PBE) results for a relaxed K2BeMo crystal.

Computed properties:
- Crystal system: orthorhombic
- Space group: Imm2 (44)
- Formation energy from the elements: 26.744 kcal/mol of atoms

Lattice parameters (Å, degrees): 2.8310 6.2168 12.9258 90.00 90.00 90.00
Atoms (fractional coordinates):
K (0.0000, 0.0000, 0.0000)
K (0.0000, 0.5000, 0.2043)
K (0.5000, 0.0000, 0.7043)
K (0.5000, 0.5000, 0.5000)
Be (0.0000, 0.0000, 0.4496)
Be (0.5000, 0.5000, 0.9496)
Mo (0.0000, 0.5000, 0.8075)
Mo (0.5000, 0.0000, 0.3075)

DFT (PBE) results for a relaxed NdH7Pd12 crystal.

Computed properties:
- Crystal system: trigonal
- E_tot: -4.71 eV per atom
- Space group: R-3 (148)

Lattice parameters (Å, degrees): 6.5636 6.5636 6.5636 107.46 107.46 107.46
Atoms (fractional coordinates):
Nd (0.0000, 0.0000, 0.0000)
H (0.1099, 0.1806, 0.4326)
H (0.1806, 0.4326, 0.1099)
H (0.4326, 0.1099, 0.1806)
H (0.5000, 0.5000, 0.5000)
H (0.5674, 0.8901, 0.8194)
H (0.8194, 0.5674, 0.8901)
H (0.8901, 0.8194, 0.5674)
Pd (0.0680, 0.2373, 0.6938)
Pd (0.1563, 0.4690, 0.3909)
Pd (0.2373, 0.6938, 0.0680)
Pd (0.3062, 0.9320, 0.7627)
Pd (0.3909, 0.1563, 0.4690)
Pd (0.4690, 0.3909, 0.1563)
Pd (0.5310, 0.6091, 0.8437)
Pd (0.6091, 0.8437, 0.5310)
Pd (0.6938, 0.0680, 0.2373)
Pd (0.7627, 0.3062, 0.9320)
Pd (0.8437, 0.5310, 0.6091)
Pd (0.9320, 0.7627, 0.3062)

DFT (PBE) results for a relaxed Cu5As crystal.

Computed properties:
- Crystal system: cubic
- Space group: F-43m (216)
- Formation energy from the elements: 3.721 kcal/mol of atoms

Lattice parameters (Å, degrees): 4.8482 4.8482 4.8482 60.00 60.00 60.00
Atoms (fractional coordinates):
Cu (0.0000, 0.0000, 0.0000)
Cu (0.1237, 0.6254, 0.6254)
Cu (0.6254, 0.1237, 0.6254)
Cu (0.6254, 0.6254, 0.1237)
Cu (0.6254, 0.6254, 0.6254)
As (0.2500, 0.2500, 0.2500)

DFT (PBE) results for a relaxed VZnTcPd crystal.

Computed properties:
- Crystal system: cubic
- Space group: F-43m (216)
- Formation energy from the elements: -3.627 kcal/mol of atoms

Lattice parameters (Å, degrees): 6.0921 6.0921 6.0921 90.00 90.00 90.00
Atoms (fractional coordinates):
V (0.0000, 0.0000, 0.0000)
V (0.0000, 0.5000, 0.5000)
V (0.5000, 0.0000, 0.5000)
V (0.5000, 0.5000, 0.0000)
Zn (0.0000, 0.0000, 0.5000)
Zn (0.0000, 0.5000, 0.0000)
Zn (0.5000, 0.0000, 0.0000)
Zn (0.5000, 0.5000, 0.5000)
Tc (0.2500, 0.2500, 0.2500)
Tc (0.2500, 0.7500, 0.7500)
Tc (0.7500, 0.2500, 0.7500)
Tc (0.7500, 0.7500, 0.2500)
Pd (0.2500, 0.2500, 0.7500)
Pd (0.2500, 0.7500, 0.2500)
Pd (0.7500, 0.2500, 0.2500)
Pd (0.7500, 0.7500, 0.7500)

DFT (PBE) results for a relaxed NaHfSbO6 crystal.

Computed properties:
- Crystal system: trigonal
- E_form (uncorrected): -1.764 eV per atom
- Space group: P312 (149)

Lattice parameters (Å, degrees): 5.4336 5.4336 4.5929 90.00 90.00 120.00
Atoms (fractional coordinates):
Na (0.0000, 0.0000, 0.0000)
Hf (0.6667, 0.3333, 0.5000)
Sb (0.3333, 0.6667, 0.0000)
O (0.0058, 0.3867, 0.2405)
O (0.0058, 0.6191, 0.7595)
O (0.3809, 0.3867, 0.7595)
O (0.3809, 0.9942, 0.2405)
O (0.6133, 0.6191, 0.2405)
O (0.6133, 0.9942, 0.7595)

DFT (PBE) results for a relaxed Th2SnHgOs crystal.

Computed properties:
- Crystal system: monoclinic
- Space group: P2_1/m (11)
- Formation energy from the elements: -8.089 kcal/mol of atoms

Lattice parameters (Å, degrees): 8.0734 4.3452 8.2016 90.00 112.31 90.00
Atoms (fractional coordinates):
Th (0.0248, 0.2500, 0.2304)
Th (0.3411, 0.7500, 0.6141)
Th (0.6589, 0.2500, 0.3859)
Th (0.9752, 0.7500, 0.7696)
Sn (0.3450, 0.2500, 0.9651)
Sn (0.6550, 0.7500, 0.0349)
Hg (0.3051, 0.7500, 0.2037)
Hg (0.6949, 0.2500, 0.7963)
Os (0.1101, 0.2500, 0.6245)
Os (0.8899, 0.7500, 0.3755)

DFT (PBE) results for a relaxed Pr2ErGa2 crystal.

Computed properties:
- Crystal system: monoclinic
- Distance to the lowest polymorph of the same formula: 12 meV per atom
- Space group: C2/m (12)
- Formation energy from the elements: -10.682 kcal/mol of atoms

Lattice parameters (Å, degrees): 6.4945 6.4945 11.1704 117.83 117.83 42.36
Atoms (fractional coordinates):
Pr (0.0231, 0.0231, 0.1863)
Pr (0.1897, 0.1897, 0.6027)
Pr (0.8103, 0.8103, 0.3973)
Pr (0.9769, 0.9769, 0.8137)
Er (0.2924, 0.2924, 0.1388)
Er (0.7076, 0.7076, 0.8612)
Ga (0.3750, 0.3750, 0.9276)
Ga (0.4633, 0.4633, 0.5929)
Ga (0.5367, 0.5367, 0.4071)
Ga (0.6250, 0.6250, 0.0724)

DFT (PBE) results for a relaxed Zn2SiAu crystal.

Computed properties:
- Crystal system: trigonal
- E_form (uncorrected): 0.151 eV per atom
- Space group: R3m (160)

Lattice parameters (Å, degrees): 3.0362 3.0362 24.5992 90.00 90.00 120.00
Atoms (fractional coordinates):
Zn (0.0000, 0.0000, 0.0000)
Zn (0.0000, 0.0000, 0.2527)
Zn (0.3333, 0.6667, 0.6667)
Zn (0.3333, 0.6667, 0.9194)
Zn (0.6667, 0.3333, 0.3333)
Zn (0.6667, 0.3333, 0.5860)
Si (0.0000, 0.0000, 0.7520)
Si (0.3333, 0.6667, 0.4187)
Si (0.6667, 0.3333, 0.0853)
Au (0.0000, 0.0000, 0.4984)
Au (0.3333, 0.6667, 0.1651)
Au (0.6667, 0.3333, 0.8317)